GaBi3Sb | PBE | relaxed

Cell lengths 5.888, 5.888, 5.888 Å; angles 90.00, 90.00, 90.00 degrees
Space group Pm-3m (No. 221)
One atom of each set of equivalent atoms:
Ga (0.000, 0.000, 0.000) x1
Bi (0.000, 0.500, 0.500) x3
Sb (0.500, 0.500, 0.500) x1

Output
- energy above the lowest structure with this stoichiometry (meV/atom) = 170
- formation energy without anion corrections (eV/atom) = 0.713
- crystal system = cubic
- total DFT energy (no corrections) (eV/atom) = -3.05

***

Ga2BiSb2 | PBE | relaxed

Cell lengths 4.109, 4.109, 15.541 Å; angles 90.00, 90.00, 90.00 degrees
Space group I4/mmm (No. 139)
One atom of each set of equivalent atoms:
Ga (0.000, 0.500, 0.250) x4
Bi (0.000, 0.000, 0.000) x2
Sb (0.000, 0.000, 0.385) x4

Output
- energy above the lowest structure with this stoichiometry (meV/atom) = 29
- formation energy without anion corrections (eV/atom) = 0.113
- crystal system = tetragonal
- total DFT energy (no corrections) (eV/atom) = -3.52

***

Ga2BiSb2 | PBE | relaxed

Cell lengths 8.882, 8.882, 3.354 Å; angles 90.00, 90.00, 90.00 degrees
Space group P4/mbm (No. 127)
One atom of each set of equivalent atoms:
Ga (0.124, 0.376, 0.000) x4
Bi (0.000, 0.000, 0.500) x2
Sb (0.173, 0.673, 0.500) x4

Output
- energy above the lowest structure with this stoichiometry (meV/atom) = 0
- formation energy without anion corrections (eV/atom) = 0.084
- crystal system = tetragonal
- total DFT energy (no corrections) (eV/atom) = -3.55

***

Ga2BiSb | PBE | relaxed

Cell lengths 7.354, 7.354, 7.354 Å; angles 90.00, 90.00, 90.00 degrees
Space group Fm-3m (No. 225)
One atom of each set of equivalent atoms:
Ga (0.250, 0.250, 0.250) x8
Bi (0.000, 0.000, 0.000) x4
Sb (0.000, 0.000, 0.500) x4

Output
- formation energy without anion corrections (eV/atom) = 0.128
- crystal system = cubic
- total DFT energy (no corrections) (eV/atom) = -3.39

***

Ga2BiSb | PBE | relaxed

Cell lengths 4.871, 4.871, 4.277 Å; angles 90.00, 90.00, 90.00 degrees
Space group P4/mmm (No. 123)
One atom of each set of equivalent atoms:
Ga (0.000, 0.500, 0.000) x2
Bi (0.000, 0.000, 0.500) x1
Sb (0.500, 0.500, 0.500) x1

Output
- formation energy without anion corrections (eV/atom) = 0.113
- crystal system = tetragonal
- total DFT energy (no corrections) (eV/atom) = -3.40

***

GaBi2Sb | PBE | relaxed

Cell lengths 7.634, 7.634, 7.634 Å; angles 90.00, 90.00, 90.00 degrees
Space group Fm-3m (No. 225)
One atom of each set of equivalent atoms:
Ga (0.000, 0.000, 0.000) x4
Bi (0.250, 0.250, 0.250) x8
Sb (0.000, 0.000, 0.500) x4

Output
- energy above the lowest structure with this stoichiometry (meV/atom) = 32
- formation energy without anion corrections (eV/atom) = 0.170
- crystal system = cubic
- total DFT energy (no corrections) (eV/atom) = -3.56

***

Ga2BiSb | PBE | relaxed

Cell lengths 4.2324, 4.2324, 20.4461 Å; angles 90.00, 90.00, 120.00 degrees
Space group R3m (No. 160, hexagonal axes)
One atom of each set of equivalent atoms:
Ga (0.0000, 0.0000, 0.0000) x3
Ga (0.0000, 0.0000, 0.1785) x3
Bi (0.0000, 0.0000, 0.4220) x3
Sb (0.0000, 0.0000, 0.5918) x3

Output
- formation energy without anion corrections (eV/atom) = 0.086
- crystal system = trigonal
- total DFT energy (no corrections) (eV/atom) = -3.43

***

Ga2BiSb | PBE | relaxed

Cell lengths 3.8883, 3.8883, 27.6499 Å; angles 90.00, 90.00, 120.00 degrees
Space group R-3m (No. 166, hexagonal axes)
One atom of each set of equivalent atoms:
Ga (0.0000, 0.0000, 0.1059) x6
Bi (0.0000, 0.0000, 0.0000) x3
Sb (0.0000, 0.0000, 0.5000) x3

Output
- formation energy without anion corrections (eV/atom) = 0.194
- crystal system = trigonal
- total DFT energy (no corrections) (eV/atom) = -3.32

***

GaBi2Sb | PBE | relaxed

Cell lengths 6.782, 6.782, 13.899 Å; angles 90.00, 90.00, 90.00 degrees
Space group I-42d (No. 122)
One atom of each set of equivalent atoms:
Ga (0.000, 0.000, 0.000) x4
Bi (0.219, 0.250, 0.125) x8
Sb (0.000, 0.000, 0.500) x4

Output
- energy above the lowest structure with this stoichiometry (meV/atom) = 82
- formation energy without anion corrections (eV/atom) = 0.220
- crystal system = tetragonal
- total DFT energy (no corrections) (eV/atom) = -3.51

***

GaBi2Sb | PBE | relaxed

Cell lengths 4.871, 4.871, 4.804 Å; angles 90.00, 90.00, 90.00 degrees
Space group P4/mmm (No. 123)
One atom of each set of equivalent atoms:
Ga (0.000, 0.000, 0.000) x1
Bi (0.000, 0.500, 0.500) x2
Sb (0.500, 0.500, 0.000) x1

Output
- energy above the lowest structure with this stoichiometry (meV/atom) = 0
- formation energy without anion corrections (eV/atom) = 0.138
- crystal system = tetragonal
- total DFT energy (no corrections) (eV/atom) = -3.59

***

GaBi3Sb | PBE | relaxed

Cell lengths 5.479, 5.479, 5.479 Å; angles 90.00, 90.00, 90.00 degrees
Space group Pm-3m (No. 221)
One atom of each set of equivalent atoms:
Ga (0.000, 0.000, 0.000) x1
Bi (0.000, 0.000, 0.500) x3
Sb (0.500, 0.500, 0.500) x1

Output
- energy above the lowest structure with this stoichiometry (meV/atom) = 0
- formation energy without anion corrections (eV/atom) = 0.544
- crystal system = cubic
- total DFT energy (no corrections) (eV/atom) = -3.21

***

GaBi2Sb | PBE | relaxed

Cell lengths 3.3560, 3.3560, 36.0729 Å; angles 90.00, 90.00, 120.00 degrees
Space group R-3m (No. 166, hexagonal axes)
One atom of each set of equivalent atoms:
Ga (0.0000, 0.0000, 0.0000) x3
Bi (0.0000, 0.0000, 0.4103) x6
Sb (0.0000, 0.0000, 0.5000) x3

Output
- energy above the lowest structure with this stoichiometry (meV/atom) = 4
- formation energy without anion corrections (eV/atom) = 0.142
- crystal system = trigonal
- total DFT energy (no corrections) (eV/atom) = -3.59